(1)
Compound: PuPaS2
Source: the Alexandria database
Functional: GGA-PBE
Structure: optimized geometry Values from VASP.

Geometry as Quantum ESPRESSO input:
```
&SYSTEM
  ibrav = 0, nat = 4, ntyp = 3
/
ATOMIC_SPECIES
Pa 231.04 Pa.upf
Pu 244.00 Pu.upf
S 32.06 S.upf
ATOMIC_POSITIONS crystal
Pa 0.0000 0.0000 0.0000
Pu 0.5000 0.5000 0.5000
S 0.2500 0.2500 0.2500
S 0.7500 0.7500 0.7500
CELL_PARAMETERS angstrom
-2.5018 0.3426 -4.1367
-4.8455 -0.0518 0.0871
-2.4850 4.0386 -1.0017
```

Results
As for the uncorrected formation energy: -1.342 eV/atom. For the polymorph energy (0 for the lowest one), the calculation gives 1.35 eV per formula unit. As for the density of states at the Fermi level: 1.2020 states/eV/atom. As for the crystal system: cubic.



(2)
Compound: Pu4PaS10
Source: the Alexandria database
Functional: GGA-PBE
Structure: optimized geometry Values from VASP.

Geometry as Quantum ESPRESSO input:
```
&SYSTEM
  ibrav = 0, nat = 15, ntyp = 3
/
ATOMIC_SPECIES
Pu 244.00 Pu.upf
S 32.06 S.upf
Pa 231.04 Pa.upf
ATOMIC_POSITIONS crystal
Pu 0.8015 0.5996 0.7974
Pu 0.5989 0.2026 0.5996
S 0.4455 0.9024 0.7023
Pu 0.1985 0.4004 0.2026
S 0.2500 0.5000 0.5000
S 0.9498 0.9024 0.7023
S 0.3478 0.7023 0.0976
Pa 0.0000 0.0000 0.0000
S 0.0502 0.0976 0.2977
S 0.1478 0.2977 0.9024
S 0.5545 0.0976 0.2977
S 0.7500 0.5000 0.5000
S 0.8522 0.7023 0.0976
Pu 0.4011 0.7974 0.4004
S 0.6522 0.2977 0.9024
CELL_PARAMETERS angstrom
5.8811 0.0000 2.6556
2.9405 7.2169 1.3278
-0.0295 0.0000 7.9052
```

Results
As for the uncorrected formation energy: -1.517 eV/atom. As for the density of states at the Fermi level: 1.7153 states/eV/atom. As for the crystal system: tetragonal.



(3)
Compound: PuPaS2
Source: the Alexandria database
Functional: GGA-PBE
Structure: optimized geometry Values from VASP.

Geometry as Quantum ESPRESSO input:
```
&SYSTEM
  ibrav = 0, nat = 4, ntyp = 3
/
ATOMIC_SPECIES
Pa 231.04 Pa.upf
S 32.06 S.upf
Pu 244.00 Pu.upf
ATOMIC_POSITIONS crystal
Pa 0.4963 0.4963 0.5112
S 0.2513 0.2513 0.2460
Pu 0.6710 0.6710 0.9869
S 0.0814 0.0814 0.7559
CELL_PARAMETERS angstrom
3.8012 0.0000 0.0000
1.9006 3.2919 0.0000
1.9006 1.0973 6.9722
```

Results
As for the uncorrected formation energy: -1.528 eV/atom. For the polymorph energy (0 for the lowest one), the calculation gives 0.60 eV per formula unit. As for the density of states at the Fermi level: 2.1881 states/eV/atom. As for the crystal system: trigonal.



(4)
Compound: Pu2PaS8
Source: the Alexandria database
Functional: GGA-PBE
Structure: optimized geometry Values from VASP.

Geometry as Quantum ESPRESSO input:
```
&SYSTEM
  ibrav = 0, nat = 11, ntyp = 3
/
ATOMIC_SPECIES
S 32.06 S.upf
Pu 244.00 Pu.upf
Pa 231.04 Pa.upf
ATOMIC_POSITIONS crystal
S 0.5000 0.7622 0.2378
Pu 0.0000 0.6876 0.3124
S 0.3486 0.6440 0.6440
S 0.0225 0.1086 0.2956
Pu 0.0000 0.3124 0.6876
S 0.6514 0.3560 0.3560
S 0.0225 0.2956 0.1086
S 0.9775 0.7044 0.8914
Pa 0.5000 0.0000 0.0000
S 0.9775 0.8914 0.7044
S 0.5000 0.2378 0.7622
CELL_PARAMETERS angstrom
5.8448 -0.5703 -0.8560
-1.7511 6.8715 0.1548
-1.7511 -2.5036 6.4010
```

Results
As for the uncorrected formation energy: -1.026 eV/atom. As for the density of states at the Fermi level: 1.6475 states/eV/atom. As for the crystal system: monoclinic.



(5)
Compound: Pu3PaS6
Source: the Alexandria database
Functional: GGA-PBE
Structure: optimized geometry Values from VASP.

Geometry as Quantum ESPRESSO input:
```
&SYSTEM
  ibrav = 0, nat = 20, ntyp = 3
/
ATOMIC_SPECIES
S 32.06 S.upf
Pa 231.04 Pa.upf
Pu 244.00 Pu.upf
ATOMIC_POSITIONS crystal
S 0.7500 0.4048 0.0678
S 0.7500 0.4831 0.6173
S 0.7500 0.1080 0.4592
Pa 0.2500 0.9536 0.3061
S 0.2500 0.1835 0.2491
S 0.7500 0.8165 0.7509
Pu 0.7500 0.1590 0.0796
S 0.2500 0.0825 0.8968
S 0.7500 0.7540 0.2801
Pu 0.7500 0.6790 0.5024
Pu 0.2500 0.3210 0.4976
S 0.2500 0.2460 0.7199
S 0.2500 0.8920 0.5408
S 0.2500 0.5952 0.9322
Pu 0.7500 0.4255 0.8344
Pa 0.7500 0.0464 0.6939
S 0.7500 0.9175 0.1032
Pu 0.2500 0.8410 0.9204
Pu 0.2500 0.5745 0.1656
S 0.2500 0.5169 0.3827
CELL_PARAMETERS angstrom
3.9415 0.0000 0.0000
0.0000 10.3930 -3.4691
0.0000 0.1454 11.3214
```

Results
As for the uncorrected formation energy: -1.651 eV/atom. For the polymorph energy (0 for the lowest one), the calculation gives 0.00 eV per formula unit. As for the density of states at the Fermi level: 2.8402 states/eV/atom. As for the crystal system: monoclinic.



(6)
Compound: PuPaS3
Source: the Alexandria database
Functional: GGA-PBE
Structure: optimized geometry Values from VASP.

Geometry as Quantum ESPRESSO input:
```
&SYSTEM
  ibrav = 0, nat = 10, ntyp = 3
/
ATOMIC_SPECIES
Pa 231.04 Pa.upf
Pu 244.00 Pu.upf
S 32.06 S.upf
ATOMIC_POSITIONS crystal
Pa 0.5000 0.6667 0.3333
Pu 0.5000 0.0000 0.0000
S 0.2500 0.7459 0.6601
S 0.7500 0.7459 0.0858
Pa 0.0000 0.6667 0.3333
S 0.2500 0.9142 0.2541
S 0.7500 0.3399 0.2541
S 0.7500 0.9142 0.6601
Pu 0.0000 0.0000 0.0000
S 0.2500 0.3399 0.0858
CELL_PARAMETERS angstrom
7.0281 0.0000 0.0000
0.0000 7.0590 0.0000
0.0000 -3.5295 6.1133
```

Results
As for the uncorrected formation energy: -1.578 eV/atom. For the polymorph energy (0 for the lowest one), the calculation gives 0.76 eV per formula unit. As for the density of states at the Fermi level: 2.6627 states/eV/atom. As for the crystal system: hexagonal.